VASP calculation (PBE) on crystalline V3GeMo at its relaxed geometry.

Structure (extended XYZ):
```
5
Lattice="-2.501 0.430 3.766 -1.388 -4.303 -0.431 3.527 -1.389 2.501" Properties=species:S:1:pos:R:3 pbc="T T T"
Mo 0.000 0.000 0.000
Ge -0.181 -2.631 2.918
V 1.764 -0.694 1.251
V -1.251 0.215 1.883
V -0.694 -2.151 -0.215
```

Summary:
E_form: 1.232 eV/atom
excess energy over the best structure of this formula in the dataset: 1227.0 meV per atom
total moment: 0.000 Bohr magnetons per cell

VASP calculation (PBE) on crystalline ScAg2Au at its relaxed geometry.

Structure (extended XYZ):
```
4
Lattice="-0.809 7.675 -4.278 -3.665 6.248 -5.039 -3.343 7.864 -2.201" Properties=species:S:1:pos:R:3 pbc="T T T"
Sc -5.883 16.399 -8.670
Au -3.887 10.835 -5.728
Ag -1.951 5.437 -2.875
Ag -0.003 0.010 -0.005
```

Summary:
E_form: -0.143 eV/atom
excess energy over the best structure of this formula in the dataset: 224.6 meV per atom
total moment: 0.000 Bohr magnetons per cell

VASP calculation (PBE) on crystalline In2SiBr at its relaxed geometry.

Structure (extended XYZ):
```
4
Lattice="3.460 0.000 0.000 0.000 3.460 0.000 0.000 0.000 9.207" Properties=species:S:1:pos:R:3 pbc="T T T"
Br 1.730 1.730 7.177
Si 0.000 0.000 4.204
In 1.730 1.730 2.601
In 0.000 0.000 9.036
```

Summary:
uncorrected formation energy: 0.202 eV/atom
excess energy over the best structure of this formula in the dataset: 248.8 meV per atom
total moment: 0.000 Bohr magnetons per cell

VASP calculation (PBE) on crystalline SiAgSb2 at its relaxed geometry.

Structure (extended XYZ):
```
4
Lattice="-8.575 1.565 -4.099 -8.407 -1.748 -4.364 -9.501 -0.358 -1.545" Properties=species:S:1:pos:R:3 pbc="T T T"
Ag -19.863 -0.405 -7.506
Sb -13.254 -0.270 -5.008
Sb -26.472 -0.540 -10.003
Si -6.621 -0.135 -2.502
```

Summary:
uncorrected formation energy: 0.400 eV/atom
total moment: 0.000 Bohr magnetons per cell

VASP calculation (PBE) on crystalline LaIrF2 at its relaxed geometry.

Structure (extended XYZ):
```
8
Lattice="4.110 0.000 0.000 0.000 4.110 0.000 2.055 2.055 8.176" Properties=species:S:1:pos:R:3 pbc="T T T"
F 5.138 5.211 6.132
F 3.083 3.009 6.132
F 3.156 1.028 2.044
F 0.954 3.083 2.044
La 2.055 2.055 0.000
La 2.055 4.110 4.088
Ir 4.110 2.055 4.088
Ir 0.000 0.000 0.000
```

Summary:
uncorrected formation energy: -1.634 eV/atom
excess energy over the best structure of this formula in the dataset: 29.0 meV per atom
total moment: 0.000 Bohr magnetons per cell

VASP calculation (PBE) on crystalline Sm3Dy4Tm4 at its relaxed geometry.

Structure (extended XYZ):
```
11
Lattice="-0.724 -5.547 0.782 1.888 1.770 -6.089 10.087 -0.914 2.862" Properties=species:S:1:pos:R:3 pbc="T T T"
Sm 8.401 -1.468 -2.627
Sm 0.777 -0.510 -2.900
Sm 4.180 -1.085 -3.825
Dy 8.346 -3.998 -0.227
Dy 2.554 -3.473 -1.870
Dy 1.036 -3.692 -4.829
Dy 5.866 -4.009 -2.602
Tm 7.410 -0.849 0.841
Tm 5.033 -3.462 0.508
Tm 3.305 -0.477 -0.324
Tm -0.193 -2.885 -0.242
```

Summary:
E_form: 0.158 eV/atom
excess energy over the best structure of this formula in the dataset: 137.5 meV per atom
total moment: 0.000 Bohr magnetons per cell

What did we get for VASP energy? Answer: -7.329, -3.971, -2.941, -3.730, -6.016, -4.429 eV per atom, in the order shown.